! GGA-PBE Ta4Ru3Rh, relaxed; values from VASP
&SYSTEM
  ibrav = 0, nat = 8, ntyp = 3
/
ATOMIC_SPECIES
Ru 101.07 Ru.upf
Rh 102.91 Rh.upf
Ta 180.95 Ta.upf
CELL_PARAMETERS angstrom
4.107 0.000 -1.109
-0.295 4.101 -1.093
-0.118 -0.169 7.724
ATOMIC_POSITIONS crystal
Ru 0.000 0.500 0.000
Ru 0.750 0.250 0.500
Ru 0.250 0.750 0.500
Rh 0.500 0.000 0.000
Ta 0.373 0.373 0.746
Ta 0.627 0.627 0.254
Ta 0.127 0.127 0.254
Ta 0.873 0.873 0.746
! - Energy of formation from the pure elements: -0.3309 eV per atom
! - Theoretical density: 14.57 Mg/m³
! - Space group: C2/m